Entry 1:
Here is crystalline Hf3AgSe5 at its relaxed geometry from OQMD via LeMat-Bulk. Energies are from PBE-GGA.

a = 6.167 Å, b = 6.167 Å, c = 7.279 Å
α = 90.00°, β = 90.00°, γ = 120.00°
Fractional positions:
Se  0.000  0.000  0.500
Se  0.667  0.333  0.229
Se  0.667  0.333  0.771
Se  0.333  0.667  0.771
Se  0.333  0.667  0.229
Hf  0.000  0.500  0.500
Hf  0.500  0.500  0.500
Hf  0.500  0.000  0.500
Ag  0.000  0.000  0.000

Entry 2:
Here is crystalline NbPbClO2 at its relaxed geometry from OQMD via LeMat-Bulk. Energies are from PBE-GGA.

a = 6.366 Å, b = 6.366 Å, c = 5.633 Å
α = 90.00°, β = 90.00°, γ = 125.07°
Fractional positions:
O  0.781  0.781  0.000
O  0.219  0.219  0.500
O  0.219  0.219  0.000
O  0.781  0.781  0.500
Pb  0.662  0.338  0.750
Pb  0.338  0.662  0.250
Nb  0.948  0.052  0.750
Nb  0.052  0.948  0.250
Cl  0.742  0.258  0.250
Cl  0.258  0.742  0.750

Entry 3:
Here is crystalline ErAsNO at its relaxed geometry from OQMD via LeMat-Bulk. Energies are from PBE-GGA.

a = 3.900 Å, b = 5.943 Å, c = 5.948 Å
α = 90.00°, β = 90.00°, γ = 90.00°
Fractional positions:
N  0.000  0.903  0.407
N  0.000  0.403  0.593
Er  0.500  0.973  0.202
Er  0.500  0.473  0.798
As  0.000  0.081  0.666
As  0.000  0.581  0.334
O  0.500  0.298  0.096
O  0.500  0.798  0.904

Entry 4:
Here is crystalline La2Ge3Ir at its relaxed geometry from OQMD via LeMat-Bulk. Energies are from PBE-GGA.

a = 8.601 Å, b = 8.595 Å, c = 6.116 Å
α = 69.22°, β = 69.11°, γ = 41.67°
Fractional positions:
Ir  0.835  0.835  0.165
Ir  0.165  0.165  0.835
Ge  0.836  0.334  0.164
Ge  0.666  0.164  0.334
Ge  0.330  0.330  0.670
Ge  0.670  0.670  0.330
Ge  0.164  0.666  0.836
Ge  0.334  0.836  0.666
La  0.756  0.244  0.756
La  0.750  0.750  0.750
La  0.244  0.756  0.244
La  0.250  0.250  0.250

Entry 5:
Here is crystalline ZnPdPt2O6 at its relaxed geometry from OQMD via LeMat-Bulk. Energies are from PBE-GGA.

a = 6.138 Å, b = 6.138 Å, c = 3.174 Å
α = 90.00°, β = 90.00°, γ = 109.02°
Fractional positions:
O  0.085  0.340  0.000
O  0.351  0.649  0.500
O  0.915  0.660  0.000
O  0.340  0.085  0.000
O  0.649  0.351  0.500
O  0.660  0.915  0.000
Zn  0.500  0.500  0.000
Pt  0.000  0.500  0.500
Pt  0.500  0.000  0.500
Pd  0.000  0.000  0.000

Entry 6:
Here is crystalline RbNiAg at its relaxed geometry from OQMD via LeMat-Bulk. Energies are from PBE-GGA.

a = 4.842 Å, b = 4.842 Å, c = 4.842 Å
α = 60.00°, β = 60.00°, γ = 60.00°
Fractional positions:
Ag  0.250  0.250  0.250
Rb  0.750  0.750  0.750
Ni  0.000  0.000  0.000

Number 1: total DFT energy (no corrections) -6.269 eV/atom. Number 2: total DFT energy (no corrections) -6.525 eV/atom. Number 3: total DFT energy (no corrections) -6.882 eV/atom. Number 4: total DFT energy (no corrections) -6.272 eV/atom. Number 5: total DFT energy (no corrections) -5.520 eV/atom. Number 6: total DFT energy (no corrections) -2.266 eV/atom.